A relaxed structure of Tb2CuO. Source: Alexandria via LeMat-Bulk, functional PBE.

For the uncorrected formation energy, the calculation gives -1.14 eV/atom.

The space group is R-3m (No. 166, hexagonal axes) and the conventional cell measures 4.2064, 4.2064 and 21.4901 Å, with angles of 90.00, 90.00 and 120.00 degrees. Symmetry generates all atoms from Tb at (0.0000, 0.0000, 0.0948), Cu at (0.0000, 0.0000, 0.5000) and O at (0.0000, 0.0000, 0.0000).